[1]
Nd2Zn2Cd | Alexandria via LeMat-Bulk | PBE-GGA | optimized geometry; E_form = -0.32 eV/atom; calculated total energy = -2.916 eV per atom; Fermi-level density of states = 5.8 states/eV/cell; space group = Cmmm, No. 65
1.0
2.2838 -7.2825 0.0000
2.2838 7.2825 0.0000
0.0000 0.0000 3.7061
Nd Zn Cd
2 2 1
Direct
0.1267 0.8733 0.0000
0.8733 0.1267 0.0000
0.2983 0.7017 0.5000
0.7017 0.2983 0.5000
0.5000 0.5000 0.5000

[2]
YCr2Ge | Alexandria via LeMat-Bulk | PBE-GGA | optimized geometry; E_form = 0.25 eV/atom; calculated total energy = -7.333 eV per atom; Fermi-level density of states = 3.6 states/eV/cell; space group = Fm-3m, No. 225
1.0
0.0000 3.2153 3.2153
3.2153 0.0000 3.2153
3.2153 3.2153 0.0000
Y Cr Ge
1 2 1
Direct
0.0000 0.0000 0.0000
0.2500 0.2500 0.2500
0.7500 0.7500 0.7500
0.5000 0.5000 0.5000

[3]
Ce4GaCl5 | Alexandria via LeMat-Bulk | PBE-GGA | optimized geometry; calculated total energy = -5.149 eV per atom; Fermi-level density of states = 22.7 states/eV/cell; space group = C2/m, No. 12; uncorrected formation energy = -1.549 eV per atom
1.0
8.8655 -1.9851 0.0000
8.8655 1.9851 0.0000
-1.9560 0.0000 8.4462
Ce Ga Cl
4 1 5
Direct
0.0069 0.0069 0.2503
0.3304 0.3304 0.9319
0.6696 0.6696 0.0681
0.9931 0.9931 0.7497
0.5000 0.5000 0.0000
0.1614 0.1614 0.8172
0.1723 0.1723 0.3109
0.5000 0.5000 0.5000
0.8277 0.8277 0.6891
0.8386 0.8386 0.1828

[4]
LiHg3W | Alexandria via LeMat-Bulk | PBE-GGA | optimized geometry; E_form = 0.82 eV/atom; calculated total energy = -2.339 eV per atom; Fermi-level density of states = 4.4 states/eV/cell; space group = Pm-3m, No. 221
1.0
5.3313 0.0000 0.0000
0.0000 5.3313 0.0000
0.0000 0.0000 5.3313
Li Hg W
1 3 1
Direct
0.0000 0.0000 0.0000
0.0000 0.5000 0.5000
0.5000 0.0000 0.5000
0.5000 0.5000 0.0000
0.5000 0.5000 0.5000

[5]
FeRh2Se | Alexandria via LeMat-Bulk | PBE-GGA | optimized geometry; calculated total energy = -6.579 eV per atom; Fermi-level density of states = 3.7 states/eV/cell; space group = Amm2, No. 38; uncorrected formation energy = 0.083 eV per atom
1.0
3.9298 0.0000 0.0000
0.0000 1.4363 5.2107
0.0000 -1.4363 5.2107
Fe Rh Se
1 2 1
Direct
0.0000 0.0000 0.0000
0.0000 0.2534 0.2534
0.5000 0.6168 0.6168
0.5000 0.3875 0.3875

[6]
ZnHg4Cl | Alexandria via LeMat-Bulk | PBE-GGA | optimized geometry; calculated total energy = -0.628 eV per atom; Fermi-level density of states = 4.4 states/eV/cell; space group = F-43m, No. 216; uncorrected formation energy = 0.093 eV per atom
1.0
0.0000 4.3305 4.3305
4.3305 0.0000 4.3305
4.3305 4.3305 0.0000
Zn Hg Cl
1 4 1
Direct
0.0000 0.0000 0.0000
0.3749 0.3749 0.3749
0.3749 0.3749 0.8752
0.3749 0.8752 0.3749
0.8752 0.3749 0.3749
0.7500 0.7500 0.7500